A plane-wave DFT calculation with GGA-PBE was carried out for crystalline RePd3Pt6 at its relaxed geometry.

The electronic total energy is -0.476 Ry per atom. As for the calculated formation energy: -43.9 meV/atom. Its crystal system is trigonal.

The structure belongs to space group P-3m1 (No. 164); the cell edges are 2.7912, 2.7912 and 22.9089 Å and the angles 90.00°, 90.00° and 120.00°. The asymmetric unit holds Re at (0.0000, 0.0000, 0.0000), Pd at (0.0000, 0.0000, 0.1980), Pd at (0.0000, 0.0000, 0.5000), Pt at (0.3333, 0.6667, 0.2983), Pt at (0.3333, 0.6667, 0.5998) and Pt at (0.3333, 0.6667, 0.9040).


A plane-wave DFT calculation with GGA-PBE was carried out for crystalline NaSiBiO4 at its relaxed geometry.

The electronic total energy is -0.469 Ry per atom. For the formation energy without anion corrections, the calculation gives -196.1 kJ/mol of atoms. Its crystal system is orthorhombic.

The structure belongs to space group Cmcm (No. 63); the cell edges are 5.8155, 9.1555 and 7.3050 Å and the angles 90.00°, 90.00° and 90.00°. The asymmetric unit holds Na at (0.0000, 0.1799, 0.2500), Si at (0.0000, 0.1544, 0.7500), Bi at (0.0000, 0.5000, 0.0000), O at (0.0000, 0.2511, 0.5631) and O at (0.2317, 0.0434, 0.7500).


A plane-wave DFT calculation with GGA-PBE was carried out for crystalline MgIn2C at its relaxed geometry.

The electronic total energy is -0.208 Ry per atom. As for the calculated formation energy: 1238.8 meV/atom. Its crystal system is cubic.

The structure belongs to space group Fm-3m (No. 225); the cell edges are 6.8466, 6.8466 and 6.8466 Å and the angles 90.00°, 90.00° and 90.00°. The asymmetric unit holds Mg at (0.0000, 0.0000, 0.0000), In at (0.2500, 0.2500, 0.2500) and C at (0.0000, 0.0000, 0.5000).


A plane-wave DFT calculation with GGA-PBE was carried out for crystalline KH2Se at its relaxed geometry.

The electronic total energy is -0.176 Ry per atom. The value obtained for the offset from the most stable computed form is 503 meV per atom. Its crystal system is cubic.

The structure belongs to space group Fm-3m (No. 225); the cell edges are 6.1897, 6.1897 and 6.1897 Å and the angles 90.00°, 90.00° and 90.00°. The asymmetric unit holds K at (0.0000, 0.0000, 0.0000), H at (0.2500, 0.2500, 0.2500) and Se at (0.0000, 0.0000, 0.5000).


A plane-wave DFT calculation with GGA-PBE was carried out for crystalline KCdTeCl at its relaxed geometry.

The electronic total energy is -0.210 Ry per atom. For the formation energy without anion corrections, the calculation gives -107.2 kJ/mol of atoms. Its crystal system is trigonal.

The structure belongs to space group R-3m (No. 166, hexagonal axes); the cell edges are 4.6605, 4.6605 and 45.5423 Å and the angles 90.00°, 90.00° and 120.00°. The asymmetric unit holds K at (0.0000, 0.0000, 0.0000), K at (0.0000, 0.0000, 0.5000), Cd at (0.0000, 0.0000, 0.2420), Te at (0.0000, 0.0000, 0.1141) and Cl at (0.0000, 0.0000, 0.2974).


A plane-wave DFT calculation with GGA-PBE was carried out for crystalline ErScAl2Au4 at its relaxed geometry.

The electronic total energy is -0.341 Ry per atom. As for the calculated formation energy: -707.9 meV/atom. Its crystal system is trigonal.

The structure belongs to space group R-3m (No. 166, hexagonal axes); the cell edges are 4.6527, 4.6527 and 24.0941 Å and the angles 90.00°, 90.00° and 120.00°. The asymmetric unit holds Er at (0.0000, 0.0000, 0.0000), Sc at (0.0000, 0.0000, 0.5000), Al at (0.0000, 0.0000, 0.2464), Au at (0.0000, 0.0000, 0.1258) and Au at (0.0000, 0.0000, 0.3843).


A plane-wave DFT calculation with GGA-PBE was carried out for crystalline Th2NbCu at its relaxed geometry.

The electronic total energy is -0.490 Ry per atom. As for the calculated formation energy: 590.5 meV/atom. The value obtained for the offset from the most stable computed form is 449 meV per atom. Its crystal system is trigonal.

The structure belongs to space group R-3m (No. 166, hexagonal axes); the cell edges are 3.2643, 3.2643 and 32.2104 Å and the angles 90.00°, 90.00° and 120.00°. The asymmetric unit holds Th at (0.0000, 0.0000, 0.0917), Nb at (0.0000, 0.0000, 0.0000) and Cu at (0.0000, 0.0000, 0.5000).


A plane-wave DFT calculation with GGA-PBE was carried out for crystalline Cs3PdCl at its relaxed geometry.

The electronic total energy is -0.183 Ry per atom. The value obtained for the offset from the most stable computed form is 0 meV per atom. For the formation energy without anion corrections, the calculation gives -55.2 kJ/mol of atoms. Its crystal system is cubic.

The structure belongs to space group Pm-3m (No. 221); the cell edges are 6.6196, 6.6196 and 6.6196 Å and the angles 90.00°, 90.00° and 90.00°. The asymmetric unit holds Cs at (0.0000, 0.0000, 0.5000), Pd at (0.0000, 0.0000, 0.0000) and Cl at (0.5000, 0.5000, 0.5000).


electronic total energy of number 1 (RePd3Pt6)?
-0.476 Ry per atom